[1]
Entry from Alexandria: an optimized crystal structure of Er2Ga3Pd5 (PBE-GGA).

Cell lengths 8.506, 8.506, 8.506 Å; angles 97.63, 95.29, 140.81 degrees
Fractional coordinates of all 20 atoms:
Er: 0.222 0.137 0.359
Er: 0.278 0.637 0.915
Er: 0.722 0.363 0.085
Er: 0.778 0.863 0.641
Ga: 0.122 0.863 0.985
Ga: 0.250 0.750 0.500
Ga: 0.378 0.363 0.741
Ga: 0.622 0.637 0.259
Ga: 0.750 0.250 0.500
Ga: 0.878 0.137 0.015
Pd: 0.168 0.406 0.574
Pd: 0.250 0.250 0.000
Pd: 0.250 0.520 0.270
Pd: 0.250 0.980 0.730
Pd: 0.332 0.906 0.237
Pd: 0.668 0.094 0.763
Pd: 0.750 0.020 0.270
Pd: 0.750 0.480 0.730
Pd: 0.750 0.750 0.000
Pd: 0.832 0.594 0.426

Total magnetization   0.000 Bohr magnetons per cell
Space group   Ibam (72)
DOS at the Fermi energy   0.489 states/eV per atom
Polymorph energy (0 for the lowest one)   0.56 eV per formula unit
Uncorrected energy   -5.190 eV per atom
Formation energy   -773 meV/atom

=====

[2]
Entry from Alexandria: an optimized crystal structure of Er3Ga2Pd6 (PBE-GGA).

Cell lengths 8.176, 8.176, 8.176 Å; angles 109.47, 109.47, 109.47 degrees
Fractional coordinates of all 22 atoms:
Er: 0.000 0.295 0.295
Er: 0.000 0.705 0.705
Er: 0.295 0.000 0.295
Er: 0.295 0.295 0.000
Er: 0.705 0.000 0.705
Er: 0.705 0.705 0.000
Ga: 0.000 0.000 0.500
Ga: 0.000 0.500 0.000
Ga: 0.500 0.000 0.000
Ga: 0.500 0.500 0.500
Pd: 0.000 0.331 0.669
Pd: 0.000 0.669 0.331
Pd: 0.331 0.000 0.669
Pd: 0.331 0.331 0.662
Pd: 0.331 0.662 0.331
Pd: 0.331 0.669 0.000
Pd: 0.338 0.669 0.669
Pd: 0.662 0.331 0.331
Pd: 0.669 0.000 0.331
Pd: 0.669 0.331 0.000
Pd: 0.669 0.338 0.669
Pd: 0.669 0.669 0.338

Total magnetization   0.000 Bohr magnetons per cell
Space group   Im-3m (229)
DOS at the Fermi energy   0.565 states/eV per atom
Uncorrected energy   -5.471 eV per atom
Formation energy   -844 meV/atom

=====

[3]
Entry from Alexandria: an optimized crystal structure of ErGa2Pd4 (PBE-GGA).

Cell lengths 7.855, 7.855, 3.923 Å; angles 90.00, 90.00, 90.00 degrees
Fractional coordinates of all 14 atoms:
Er: 0.000 0.000 0.000
Er: 0.500 0.500 0.500
Ga: 0.223 0.223 0.500
Ga: 0.277 0.723 0.000
Ga: 0.723 0.277 0.000
Ga: 0.777 0.777 0.500
Pd: 0.078 0.672 0.500
Pd: 0.172 0.422 0.000
Pd: 0.328 0.922 0.500
Pd: 0.422 0.172 0.000
Pd: 0.578 0.828 0.000
Pd: 0.672 0.078 0.500
Pd: 0.828 0.578 0.000
Pd: 0.922 0.328 0.500

Total magnetization   0.000 Bohr magnetons per cell
Space group   P4_2/mnm (136)
DOS at the Fermi energy   0.389 states/eV per atom
Polymorph energy (0 for the lowest one)   0.30 eV per formula unit
Uncorrected energy   -5.210 eV per atom
Formation energy   -726 meV/atom

=====

[4]
Entry from Alexandria: an optimized crystal structure of PmErGa2Pd5 (PBE-GGA).

Cell lengths 4.228, 4.228, 9.278 Å; angles 90.00, 90.00, 90.00 degrees
Fractional coordinates of all 9 atoms:
Pm: 0.000 0.000 0.000
Er: 0.000 0.000 0.500
Ga: 0.500 0.500 0.368
Ga: 0.500 0.500 0.632
Pd: 0.000 0.500 0.228
Pd: 0.000 0.500 0.772
Pd: 0.500 0.000 0.228
Pd: 0.500 0.000 0.772
Pd: 0.500 0.500 0.000

Total magnetization   0.000 Bohr magnetons per cell
Space group   P4/mmm (123)
DOS at the Fermi energy   0.593 states/eV per atom
Uncorrected energy   -5.375 eV per atom
Formation energy   -782 meV/atom

=====

[5]
Entry from Alexandria: an optimized crystal structure of PrErGa2Pd5 (PBE-GGA).

Cell lengths 4.253, 4.253, 9.292 Å; angles 90.00, 90.00, 90.00 degrees
Fractional coordinates of all 9 atoms:
Pr: 0.000 0.000 0.000
Er: 0.000 0.000 0.500
Ga: 0.500 0.500 0.368
Ga: 0.500 0.500 0.632
Pd: 0.000 0.500 0.230
Pd: 0.000 0.500 0.770
Pd: 0.500 0.000 0.230
Pd: 0.500 0.000 0.770
Pd: 0.500 0.500 0.000

Total magnetization   0.000 Bohr magnetons per cell
Space group   P4/mmm (123)
DOS at the Fermi energy   0.605 states/eV per atom
Uncorrected energy   -5.354 eV per atom
Formation energy   -758 meV/atom

=====

[6]
Entry from Alexandria: an optimized crystal structure of Pr2ErGa4Pd3 (PBE-GGA).

Cell lengths 4.260, 4.260, 11.706 Å; angles 90.00, 90.00, 90.00 degrees
Fractional coordinates of all 10 atoms:
Pr: 0.000 0.500 0.228
Pr: 0.500 0.000 0.772
Er: 0.000 0.000 0.500
Ga: 0.000 0.000 0.000
Ga: 0.000 0.500 0.666
Ga: 0.500 0.000 0.334
Ga: 0.500 0.500 0.000
Pd: 0.000 0.500 0.878
Pd: 0.500 0.000 0.122
Pd: 0.500 0.500 0.500

Total magnetization   0.000 Bohr magnetons per cell
Space group   P-4m2 (115)
DOS at the Fermi energy   0.777 states/eV per atom
Uncorrected energy   -4.910 eV per atom
Formation energy   -729 meV/atom

=====

no.,volume (Å³ per cell)
1,366
2,421
3,242
4,166
5,168
6,212